Model one:
! LiZr3Re, optimized geometry, DFT PBE-GGA; values from VASP
&SYSTEM
  ibrav = 0, nat = 5, ntyp = 3
/
ATOMIC_SPECIES
Zr 91.22 Zr.upf
Li 6.94 Li.upf
Re 186.21 Re.upf
CELL_PARAMETERS angstrom
4.576 0.000 0.000
0.000 4.576 0.000
0.000 0.000 4.576
ATOMIC_POSITIONS angstrom
Zr 0.000 2.288 0.000
Zr 0.000 0.000 2.288
Zr 2.288 0.000 0.000
Li 0.000 0.000 0.000
Re 2.288 2.288 2.288
! * DOS(E_F): 6.39 states/eV per cell

Model two:
! LiZr3Re, optimized geometry, DFT PBE-GGA; values from VASP
&SYSTEM
  ibrav = 0, nat = 5, ntyp = 3
/
ATOMIC_SPECIES
Zr 91.22 Zr.upf
Li 6.94 Li.upf
Re 186.21 Re.upf
CELL_PARAMETERS angstrom
5.132 0.000 0.000
0.000 5.132 0.000
0.000 0.000 5.132
ATOMIC_POSITIONS angstrom
Zr 2.566 0.000 0.000
Zr 0.000 0.000 2.566
Zr 0.000 2.566 0.000
Li 2.566 2.566 2.566
Re 0.000 0.000 0.000
! * DOS(E_F): 10.09 states/eV per cell

Which structure is most stable? model two, by 42.8 kJ/mol of atoms over the runner-up.

Model one:
! Li2Rh3, optimized geometry, DFT PBE-GGA; values from VASP
&SYSTEM
  ibrav = 0, nat = 5, ntyp = 2
/
ATOMIC_SPECIES
Li 6.94 Li.upf
Rh 102.91 Rh.upf
CELL_PARAMETERS angstrom
1.992 -3.450 0.000
1.992 3.450 0.000
0.000 0.000 4.902
ATOMIC_POSITIONS angstrom
Li 1.992 1.150 4.262
Li 1.992 -1.150 0.640
Rh 1.992 1.150 1.882
Rh 0.000 0.000 0.000
Rh 1.992 -1.150 3.020
! * DOS(E_F): 5.60 states/eV per cell

Model two:
! Li2Rh3, optimized geometry, DFT PBE-GGA; values from VASP
&SYSTEM
  ibrav = 0, nat = 10, ntyp = 2
/
ATOMIC_SPECIES
Rh 102.91 Rh.upf
Li 6.94 Li.upf
CELL_PARAMETERS angstrom
4.365 0.000 1.156
2.029 3.864 1.156
-0.131 -0.079 9.317
ATOMIC_POSITIONS angstrom
Rh 3.029 0.946 3.294
Rh 2.915 3.515 3.675
Rh 1.115 1.544 7.565
Rh 3.348 0.270 7.953
Rh 5.148 2.241 4.063
Rh 3.234 2.839 8.334
Li 4.134 2.498 10.848
Li 1.003 0.606 5.034
Li 5.260 3.179 6.594
Li 2.129 1.287 0.780
! * DOS(E_F): 8.86 states/eV per cell

Which structure is most stable? model two, by 20.9 kJ/mol of atoms over the runner-up.

Model one:
! Li5Rh, optimized geometry, DFT PBE-GGA; values from VASP
&SYSTEM
  ibrav = 0, nat = 6, ntyp = 2
/
ATOMIC_SPECIES
Li 6.94 Li.upf
Rh 102.91 Rh.upf
CELL_PARAMETERS angstrom
5.433 0.011 0.032
4.743 2.649 0.032
1.812 0.474 6.632
ATOMIC_POSITIONS angstrom
Li 11.918 3.116 6.613
Li 8.226 2.151 4.636
Li 6.695 1.751 1.739
Li 10.693 2.796 4.259
Li 3.871 1.012 2.072
Rh 4.549 1.190 6.349
! * DOS(E_F): 2.97 states/eV per cell

Model two:
! Li5Rh, optimized geometry, DFT PBE-GGA; values from VASP
&SYSTEM
  ibrav = 0, nat = 6, ntyp = 2
/
ATOMIC_SPECIES
Li 6.94 Li.upf
Rh 102.91 Rh.upf
CELL_PARAMETERS angstrom
4.389 0.000 0.000
-2.195 4.561 -0.368
0.000 -2.610 4.663
ATOMIC_POSITIONS angstrom
Li 2.195 -0.754 3.646
Li 0.000 1.260 2.641
Li 0.000 2.489 0.172
Li 2.195 0.474 1.177
Li 2.195 3.147 1.724
Rh 2.195 1.842 4.056
! * DOS(E_F): 1.44 states/eV per cell

Which structure is most stable? model two, by 0.9 kJ/mol of atoms over the runner-up.